1.
A relaxed Tb3Y7Tm crystal, computed with PBE.

Properties
* magnetic moment: 0.0 μB per formula unit
* D(E_F): 1.760 states/eV/atom

a = 6.910 Å, b = 5.530 Å, c = 9.986 Å
α = 90.00°, β = 109.10°, γ = 90.00°
Fractional coordinates of all 11 atoms:
Tb: 0.000 0.000 0.000
Tb: 0.278 0.500 0.495
Tb: 0.722 0.500 0.505
Y: 0.000 0.000 0.500
Y: 0.150 0.500 0.789
Y: 0.318 0.500 0.136
Y: 0.424 0.000 0.329
Y: 0.576 0.000 0.671
Y: 0.682 0.500 0.864
Y: 0.850 0.500 0.211
Tm: 0.500 0.000 0.000

2.
A relaxed Tb3Y7Tm crystal, computed with PBE.

Properties
* magnetic moment: 0.0 μB per formula unit
* D(E_F): 1.643 states/eV/atom

a = 7.076 Å, b = 7.076 Å, c = 8.598 Å
α = 90.00°, β = 90.00°, γ = 120.00°
Fractional coordinates of all 11 atoms:
Tb: 0.001 0.500 0.000
Tb: 0.500 0.500 0.000
Tb: 0.500 0.999 0.000
Y: 0.168 0.336 0.665
Y: 0.168 0.832 0.665
Y: 0.335 0.168 0.332
Y: 0.664 0.832 0.665
Y: 0.667 0.333 0.664
Y: 0.832 0.168 0.332
Y: 0.832 0.665 0.332
Tm: 0.333 0.667 0.335

1 wins, 49 meV/atom ahead of the next structure.

1.
A relaxed Tb2YTm9 crystal, computed with PBE.

Properties
* magnetic moment: 0.0 μB per formula unit
* D(E_F): 1.692 states/eV/atom

a = 11.077 Å, b = 11.077 Å, c = 3.471 Å
α = 90.00°, β = 90.00°, γ = 120.00°
Fractional coordinates of all 12 atoms:
Tb: 0.333 0.667 0.000
Tb: 0.667 0.333 0.000
Y: 0.000 0.000 0.000
Tm: 0.000 0.500 0.000
Tm: 0.177 0.353 0.500
Tm: 0.177 0.823 0.500
Tm: 0.353 0.177 0.500
Tm: 0.500 0.000 0.000
Tm: 0.500 0.500 0.000
Tm: 0.647 0.823 0.500
Tm: 0.823 0.177 0.500
Tm: 0.823 0.647 0.500

2.
A relaxed Tb2YTm9 crystal, computed with PBE.

Properties
* magnetic moment: 0.0 μB per formula unit
* D(E_F): 1.433 states/eV/atom

a = 4.961 Å, b = 4.961 Å, c = 14.874 Å
α = 90.00°, β = 90.00°, γ = 90.00°
Fractional coordinates of all 12 atoms:
Tb: 0.000 0.000 0.166
Tb: 0.000 0.000 0.834
Y: 0.000 0.000 0.500
Tm: 0.000 0.500 0.000
Tm: 0.000 0.500 0.333
Tm: 0.000 0.500 0.667
Tm: 0.500 0.000 0.000
Tm: 0.500 0.000 0.333
Tm: 0.500 0.000 0.667
Tm: 0.500 0.500 0.166
Tm: 0.500 0.500 0.500
Tm: 0.500 0.500 0.834

2 wins, 31 meV/atom ahead of the next structure.